ThMgScTc after structural relaxation, computed with PBE. Values from VASP.

```
&SYSTEM
  ibrav = 0, nat = 4, ntyp = 4
/
ATOMIC_SPECIES
Mg 24.30 Mg.upf
Sc 44.96 Sc.upf
Th 232.04 Th.upf
Tc 98.00 Tc.upf
CELL_PARAMETERS angstrom
3.401 0.000 0.000
0.000 3.401 0.000
0.000 0.000 8.121
ATOMIC_POSITIONS crystal
Mg 0.000 0.000 0.097
Sc 0.500 0.500 0.367
Th 0.500 0.500 0.770
Tc 0.000 0.000 0.551
```

Summary:
Fermi-level density of states, states/eV/f.u.: 4.59
Electronic total energy, eV per atom: -6.547
Magnetic moment, Bohr magnetons per cell: 0.0
V, Å³/atom: 23.5
Crystal system: tetragonal